1.
Compound: TlTeCl2
Source: the Alexandria database
Functional: PBE
Structure: optimized geometry

V: 110.3 Å³/cell
ΔE to the lowest computed polymorph: 1.004 eV/f.u.
calculated total energy: -10.06 eV for the cell shown
formation energy (no corrections): -20.7 kJ per mole of atoms
theoretical density: 6.06 g/cm3

Unit cell a=9.627 b=9.627 c=9.627 alpha=22.06 beta=22.06 gamma=22.06
Fractional positions:
Tl: 0.000 0.000 0.000
Te: 0.500 0.500 0.500
Cl: 0.254 0.254 0.254
Cl: 0.746 0.746 0.746

=====

2.
Compound: Y2Si2H
Source: the Alexandria database
Functional: PBE
Structure: optimized geometry

V: 206.8 Å³/cell
calculated total energy: -59.19 eV for the cell shown
theoretical density: 3.77 g/cm3

Unit cell a=7.032 b=7.032 c=4.182 alpha=90.00 beta=90.00 gamma=90.00
Fractional positions:
Y: 0.182 0.318 0.000
Y: 0.318 0.818 0.000
Y: 0.682 0.182 0.000
Y: 0.818 0.682 0.000
Si: 0.116 0.616 0.500
Si: 0.384 0.116 0.500
Si: 0.616 0.884 0.500
Si: 0.884 0.384 0.500
H: 0.000 0.000 0.000
H: 0.500 0.500 0.000

=====

3.
Compound: CsS
Source: the Alexandria database
Functional: PBE
Structure: optimized geometry

V: 951.9 Å³/cell
calculated total energy: -49.96 eV for the cell shown
formation energy (no corrections): -61.0 kJ per mole of atoms
theoretical density: 2.30 g/cm3

Unit cell a=11.811 b=11.811 c=6.823 alpha=90.00 beta=90.00 gamma=90.00
Fractional positions:
Cs: 0.116 0.377 0.000
Cs: 0.202 0.690 0.500
Cs: 0.310 0.202 0.500
Cs: 0.377 0.884 0.000
Cs: 0.623 0.116 0.000
Cs: 0.690 0.798 0.500
Cs: 0.798 0.310 0.500
Cs: 0.884 0.623 0.000
S: 0.059 0.437 0.500
S: 0.179 0.671 0.000
S: 0.329 0.179 0.000
S: 0.437 0.941 0.500
S: 0.563 0.059 0.500
S: 0.671 0.821 0.000
S: 0.821 0.329 0.000
S: 0.941 0.563 0.500

=====

4.
Compound: LiSb2SeBr
Source: the Alexandria database
Functional: PBE
Structure: optimized geometry

V: 123.1 Å³/cell
calculated total energy: -14.49 eV for the cell shown
formation energy (no corrections): 16.0 kJ per mole of atoms
theoretical density: 5.52 g/cm3

Unit cell a=5.195 b=5.195 c=4.563 alpha=90.00 beta=90.00 gamma=90.00
Fractional positions:
Li: 0.000 0.000 0.000
Sb: 0.000 0.500 0.000
Sb: 0.500 0.000 0.000
Se: 0.500 0.500 0.500
Br: 0.000 0.000 0.500

=====

5.
Compound: Ce2PuSi3Ni4
Source: the Alexandria database
Functional: PBE
Structure: optimized geometry

V: 168.3 Å³/cell
calculated total energy: -71.81 eV for the cell shown
formation energy (no corrections): -60.0 kJ per mole of atoms
theoretical density: 8.32 g/cm3

Unit cell a=4.166 b=4.166 c=9.697 alpha=90.00 beta=90.00 gamma=90.00
Fractional positions:
Ce: 0.000 0.500 0.236
Ce: 0.500 0.000 0.764
Pu: 0.000 0.000 0.500
Si: 0.000 0.500 0.885
Si: 0.500 0.000 0.115
Si: 0.500 0.500 0.500
Ni: 0.000 0.000 0.000
Ni: 0.000 0.500 0.651
Ni: 0.500 0.000 0.349
Ni: 0.500 0.500 0.000

=====

6.
Compound: PmLuHg4
Source: the Alexandria database
Functional: PBE
Structure: optimized geometry

V: 150.0 Å³/cell
calculated total energy: -11.58 eV for the cell shown
formation energy: -0.18 eV per atom
theoretical density: 12.42 g/cm3

Unit cell a=5.964 b=5.964 c=5.964 alpha=60.00 beta=60.00 gamma=60.00
Fractional positions:
Pm: 0.000 0.000 0.000
Lu: 0.750 0.750 0.750
Hg: 0.375 0.375 0.375
Hg: 0.375 0.375 0.875
Hg: 0.375 0.875 0.375
Hg: 0.875 0.375 0.375

=====

> Which value of calculated total energy does entry 5 give?

-71.81 eV for the cell shown

=====

> Which of these has the highest calculated total energy?

TlTeCl2

=====

> Which formula does entry 2 have?

Y2Si2H